Entry 1:
# CdP2WO

An optimized crystal structure of CdP2WO (GGA+U, the Alexandria database).

Results
- raw total energy (eV/atom) = -3.629

Lattice parameters (Å, degrees): 4.9610 4.9610 4.0023 90.00 90.00 90.00
Positions (direct):
Cd 0.0000 0.0000 0.0000
P 0.0000 0.5000 0.0000
P 0.5000 0.0000 0.0000
W 0.5000 0.5000 0.5000
O 0.0000 0.0000 0.5000

Entry 2:
# CdP2WO

An optimized crystal structure of CdP2WO (GGA+U, the Alexandria database).

Results
- raw total energy (eV/atom) = -4.911

Lattice parameters (Å, degrees): 4.9288 4.9288 3.8373 90.00 90.00 90.00
Positions (direct):
Cd 0.0000 0.0000 0.0000
P 0.0000 0.5000 0.5000
P 0.5000 0.0000 0.5000
W 0.5000 0.5000 0.5000
O 0.5000 0.5000 0.0000